[1]
Computed, not measured: PrPdS after structural relaxation at the PBE-GGA level of DFT.

Cell lengths 5.7865, 5.7865, 5.7865 Å; angles 79.13, 79.13, 79.13 degrees
Positions (direct):
1 Pr 0.1662 0.5000 0.8338
2 Pr 0.5000 0.8338 0.1662
3 Pr 0.8338 0.1662 0.5000
4 Pd 0.0000 0.0000 0.0000
5 Pd 0.3341 0.3341 0.3341
6 Pd 0.6659 0.6659 0.6659
7 S 0.0000 0.6666 0.3334
8 S 0.3334 0.0000 0.6666
9 S 0.6666 0.3334 0.0000

- Symmetry: R32 (155)
- N(E_F): 6.4 states/eV/cell
- E_form (uncorrected): -1.21 eV per atom

[2]
Computed, not measured: BaTlSb2 after structural relaxation at the PBE-GGA level of DFT.

Cell lengths 6.6901, 6.6901, 6.6901 Å; angles 143.41, 129.35, 64.09 degrees
Positions (direct):
1 Ba 0.0000 0.0000 0.0000
2 Tl 0.7273 0.2273 0.5000
3 Sb 0.2815 0.7815 0.5000
4 Sb 0.4733 0.4733 0.0000

- Symmetry: Imm2 (44)
- N(E_F): 3.0 states/eV/cell
- E_form (uncorrected): -0.43 eV per atom
- Energy above the most stable polymorph in this dataset: 22.2 kJ/mol of formula units

[3]
Computed, not measured: CaMgTe2O6 after structural relaxation at the PBE-GGA level of DFT.

Cell lengths 7.3675, 7.3675, 7.0518 Å; angles 108.06, 108.06, 90.16 degrees
Positions (direct):
1 Ca 0.0610 0.9390 0.7500
2 Ca 0.9390 0.0610 0.2500
3 Mg 0.2581 0.7419 0.2500
4 Mg 0.7419 0.2581 0.7500
5 Te 0.1654 0.4409 0.7271
6 Te 0.4409 0.1654 0.2271
7 Te 0.5591 0.8346 0.7729
8 Te 0.8346 0.5591 0.2729
9 O 0.0070 0.3723 0.3016
10 O 0.0213 0.7802 0.3501
11 O 0.2198 0.9787 0.1499
12 O 0.2423 0.5055 0.0214
13 O 0.3723 0.0070 0.8016
14 O 0.4945 0.7577 0.4786
15 O 0.5055 0.2423 0.5214
16 O 0.6277 0.9930 0.1984
17 O 0.7577 0.4945 0.9786
18 O 0.7802 0.0213 0.8501
19 O 0.9787 0.2198 0.6499
20 O 0.9930 0.6277 0.6984

- Symmetry: C2/c (15)
- N(E_F): 0.0 states/eV/cell
- E_form (uncorrected): -1.81 eV per atom

[4]
Computed, not measured: Hf2ScFe after structural relaxation at the PBE-GGA level of DFT.

Cell lengths 9.8265, 9.8265, 9.8265 Å; angles 18.43, 18.43, 18.43 degrees
Positions (direct):
1 Hf 0.1041 0.1041 0.1041
2 Hf 0.8959 0.8959 0.8959
3 Sc 0.0000 0.0000 0.0000
4 Fe 0.5000 0.5000 0.5000

- Symmetry: R-3m (166)
- N(E_F): 4.7 states/eV/cell
- E_form: 279 meV/atom
- Energy above the most stable polymorph in this dataset: 154.1 kJ/mol of formula units

[5]
Computed, not measured: MgZnGa2 after structural relaxation at the PBE-GGA level of DFT.

Cell lengths 10.1469, 10.1469, 10.1469 Å; angles 157.32, 157.32, 32.30 degrees
Positions (direct):
1 Mg 0.0000 0.0000 0.0000
2 Mg 0.7500 0.2500 0.5000
3 Zn 0.2500 0.7500 0.5000
4 Zn 0.5000 0.5000 0.0000
5 Ga 0.1336 0.6250 0.0086
6 Ga 0.3750 0.3836 0.5086
7 Ga 0.6164 0.1250 0.9914
8 Ga 0.8750 0.8664 0.4914

- Symmetry: I-42d (122)
- N(E_F): 3.6 states/eV/cell
- E_form: 39 meV/atom

[6]
Computed, not measured: Tl2Cu2SnSe4 after structural relaxation at the PBE-GGA level of DFT.

Cell lengths 7.8681, 7.8681, 7.8822 Å; angles 110.87, 110.87, 29.63 degrees
Positions (direct):
1 Tl 0.1309 0.1309 0.0556
2 Tl 0.8691 0.8691 0.9444
3 Cu 0.3027 0.3027 0.5013
4 Cu 0.6973 0.6973 0.4987
5 Sn 0.0000 0.0000 0.5000
6 Se 0.1983 0.1983 0.6839
7 Se 0.4710 0.4710 0.7240
8 Se 0.5290 0.5290 0.2760
9 Se 0.8017 0.8017 0.3161

- Symmetry: C2/m (12)
- N(E_F): 2.1 states/eV/cell
- E_form (uncorrected): -0.33 eV per atom

[7]
Computed, not measured: ScZnSi2 after structural relaxation at the PBE-GGA level of DFT.

Cell lengths 2.9544, 4.1649, 5.3446 Å; angles 90.00, 90.00, 90.00 degrees
Positions (direct):
1 Sc 0.0000 0.0000 0.0000
2 Zn 0.5000 0.0000 0.5000
3 Si 0.5000 0.5000 0.2304
4 Si 0.5000 0.5000 0.7696

- Symmetry: Pmmm (47)
- N(E_F): 1.8 states/eV/cell
- E_form (uncorrected): -0.26 eV per atom

[8]
Computed, not measured: Ca2CoGeTe after structural relaxation at the PBE-GGA level of DFT.

Cell lengths 5.3915, 5.3915, 4.4100 Å; angles 90.00, 90.00, 90.00 degrees
Positions (direct):
1 Ca 0.0000 0.5000 0.0000
2 Ca 0.5000 0.0000 0.0000
3 Co 0.0000 0.0000 0.0000
4 Ge 0.0000 0.0000 0.5000
5 Te 0.5000 0.5000 0.5000

- Symmetry: P4/mmm (123)
- N(E_F): 2.1 states/eV/cell
- E_form (uncorrected): -0.53 eV per atom
- Energy above the most stable polymorph in this dataset: 0.0 kJ/mol of formula units

[9]
Computed, not measured: Pu2Cu2Pd after structural relaxation at the PBE-GGA level of DFT.

Cell lengths 6.7623, 6.7623, 4.3085 Å; angles 90.00, 90.00, 90.00 degrees
Positions (direct):
1 Pu 0.1766 0.3234 0.0000
2 Pu 0.3234 0.8234 0.0000
3 Pu 0.6766 0.1766 0.0000
4 Pu 0.8234 0.6766 0.0000
5 Cu 0.1266 0.6266 0.5000
6 Cu 0.3734 0.1266 0.5000
7 Cu 0.6266 0.8734 0.5000
8 Cu 0.8734 0.3734 0.5000
9 Pd 0.0000 0.0000 0.5000
10 Pd 0.5000 0.5000 0.5000

- Symmetry: P4/mbm (127)
- N(E_F): 36.6 states/eV/cell
- E_form: -78 meV/atom
- Energy above the most stable polymorph in this dataset: 34.6 kJ/mol of formula units

[10]
Computed, not measured: HoEr2Mg after structural relaxation at the PBE-GGA level of DFT.

Cell lengths 5.4571, 5.4571, 5.4571 Å; angles 60.00, 60.00, 60.00 degrees
Positions (direct):
1 Ho 0.0000 0.0000 0.0000
2 Er 0.2500 0.2500 0.2500
3 Er 0.7500 0.7500 0.7500
4 Mg 0.5000 0.5000 0.5000

- Symmetry: Fm-3m (225)
- N(E_F): 4.9 states/eV/cell
- E_form: 62 meV/atom
- Energy above the most stable polymorph in this dataset: 34.7 kJ/mol of formula units

[11]
Computed, not measured: Tb3TmMg7 after structural relaxation at the PBE-GGA level of DFT.

Cell lengths 7.4445, 7.4445, 6.0422 Å; angles 103.39, 103.39, 87.56 degrees
Positions (direct):
1 Tb 0.0000 0.0000 0.0000
2 Tb 0.1949 0.8051 0.5000
3 Tb 0.8051 0.1949 0.5000
4 Tm 0.5000 0.5000 0.0000
5 Mg 0.0597 0.5659 0.8172
6 Mg 0.2373 0.2373 0.5237
7 Mg 0.4341 0.9403 0.1828
8 Mg 0.5000 0.5000 0.5000
9 Mg 0.5659 0.0597 0.8172
10 Mg 0.7627 0.7627 0.4763
11 Mg 0.9403 0.4341 0.1828

- Symmetry: C2/m (12)
- N(E_F): 9.9 states/eV/cell
- E_form: 202 meV/atom
- Energy above the most stable polymorph in this dataset: 126.5 kJ/mol of formula units

[12]
Computed, not measured: Ni2GePdI after structural relaxation at the PBE-GGA level of DFT.

Cell lengths 4.3217, 4.3217, 5.8596 Å; angles 90.00, 90.00, 90.00 degrees
Positions (direct):
1 Ni 0.0000 0.5000 0.0000
2 Ni 0.5000 0.0000 0.0000
3 Ge 0.0000 0.0000 0.0000
4 Pd 0.5000 0.5000 0.5000
5 I 0.0000 0.0000 0.5000

- Symmetry: P4/mmm (123)
- N(E_F): 5.0 states/eV/cell
- E_form (uncorrected): 0.77 eV per atom

[13]
Computed, not measured: CsHoSnSe3 after structural relaxation at the PBE-GGA level of DFT.

Cell lengths 9.1960, 9.1960, 11.9543 Å; angles 90.00, 90.00, 154.05 degrees
Positions (direct):
1 Cs 0.1971 0.8029 0.7500
2 Cs 0.8029 0.1971 0.2500
3 Ho 0.5000 0.5000 0.0000
4 Ho 0.5000 0.5000 0.5000
5 Sn 0.1063 0.8937 0.2500
6 Sn 0.8937 0.1063 0.7500
7 Se 0.1084 0.8916 0.0058
8 Se 0.1084 0.8916 0.4942
9 Se 0.4974 0.5026 0.7500
10 Se 0.5026 0.4974 0.2500
11 Se 0.8916 0.1084 0.5058
12 Se 0.8916 0.1084 0.9942

- Symmetry: Cmcm (63)
- E_form (uncorrected): -1.21 eV per atom

[14]
Computed, not measured: ErMnInCl6 after structural relaxation at the PBE-GGA level of DFT.

Cell lengths 6.4282, 6.4282, 14.4729 Å; angles 90.00, 90.00, 120.00 degrees
Positions (direct):
1 Er 0.3333 0.6667 0.2500
2 Er 0.6667 0.3333 0.7500
3 Mn 0.3333 0.6667 0.7500
4 Mn 0.6667 0.3333 0.2500
5 In 0.0000 0.0000 0.0000
6 In 0.0000 0.0000 0.5000
7 Cl 0.0301 0.3788 0.6515
8 Cl 0.0301 0.6514 0.8485
9 Cl 0.3486 0.3788 0.8485
10 Cl 0.3486 0.9699 0.6515
11 Cl 0.3788 0.0301 0.1515
12 Cl 0.3788 0.3486 0.3485
13 Cl 0.6212 0.6514 0.6515
14 Cl 0.6212 0.9699 0.8485
15 Cl 0.6514 0.0301 0.3485
16 Cl 0.6514 0.6212 0.1515
17 Cl 0.9699 0.3486 0.1515
18 Cl 0.9699 0.6212 0.3485

- Symmetry: P-31c (163)
- N(E_F): 16.7 states/eV/cell
- E_form (uncorrected): -1.31 eV per atom

Quick rundown of VASP energy, same order as above: -17.7 -14.3 -57.7 -33.6 -8.8 -33.8 -19.5 -21.5 -42.4 -15.0 -27.3 -19.1 -27.1 -39.4 eV/f.u.